# MnSnSe4

MnSnSe4 after structural relaxation (PBE, the Alexandria database).

Properties
**E**: -4.894 eV per atom
**Crystal system**: monoclinic
**Space group**: P2/m (10)

a = 3.671 Å, b = 6.541 Å, c = 7.090 Å
α = 106.30°, β = 90.00°, γ = 90.00°
Each line ends with the local moment (μB).
Fractional coordinates of all 6 atoms:
1 Se 0.500 0.710 0.712  -0.10
2 Se 0.000 0.732 0.274  -0.03
3 Se 0.500 0.290 0.288  -0.10
4 Se 0.000 0.268 0.726  -0.03
5 Mn 0.000 0.500 0.500  2.99
6 Sn 0.500 0.000 0.500  0.02



# Mn5Sn3Se12

Mn5Sn3Se12 after structural relaxation (PBE, the Alexandria database).

Properties
**E**: -5.303 eV per atom
**Crystal system**: cubic
**Space group**: Ia-3d (230)

a = 13.672 Å, b = 13.672 Å, c = 13.672 Å
α = 109.47°, β = 109.47°, γ = 109.47°
Each line ends with the local moment (μB).
Fractional coordinates of all 80 atoms:
1 Se 0.920 0.097 0.623  -0.11
2 Se 0.903 0.823 0.526  -0.11
3 Se 0.974 0.377 0.297  -0.11
4 Se 0.377 0.974 0.797  -0.11
5 Se 0.097 0.920 0.123  -0.11
6 Se 0.797 0.474 0.377  -0.11
7 Se 0.974 0.597 0.177  -0.11
8 Se 0.526 0.203 0.123  -0.11
9 Se 0.597 0.623 0.420  -0.11
10 Se 0.026 0.623 0.703  -0.11
11 Se 0.903 0.080 0.877  -0.11
12 Se 0.203 0.526 0.623  -0.11
13 Se 0.797 0.323 0.920  -0.11
14 Se 0.177 0.080 0.703  -0.11
15 Se 0.123 0.420 0.097  -0.11
16 Se 0.623 0.597 0.920  -0.11
17 Se 0.403 0.026 0.323  -0.11
18 Se 0.420 0.297 0.323  -0.11
19 Se 0.677 0.203 0.580  -0.11
20 Se 0.097 0.177 0.474  -0.11
21 Se 0.474 0.677 0.097  -0.11
22 Se 0.623 0.026 0.203  -0.11
23 Se 0.420 0.123 0.597  -0.11
24 Se 0.297 0.420 0.823  -0.11
25 Se 0.703 0.123 0.026  -0.11
26 Se 0.823 0.920 0.297  -0.11
27 Se 0.177 0.097 0.974  -0.11
28 Se 0.403 0.377 0.580  -0.11
29 Se 0.323 0.797 0.420  -0.11
30 Se 0.677 0.474 0.597  -0.11
31 Se 0.377 0.403 0.080  -0.11
32 Se 0.597 0.974 0.677  -0.11
33 Se 0.203 0.677 0.080  -0.11
34 Se 0.297 0.877 0.974  -0.11
35 Se 0.877 0.580 0.903  -0.11
36 Se 0.474 0.797 0.877  -0.11
37 Se 0.526 0.323 0.903  -0.11
38 Se 0.877 0.297 0.474  -0.11
39 Se 0.026 0.403 0.823  -0.11
40 Se 0.323 0.526 0.403  -0.11
41 Se 0.080 0.903 0.377  -0.11
42 Se 0.123 0.703 0.526  -0.11
43 Se 0.823 0.903 0.026  -0.11
44 Se 0.920 0.823 0.797  -0.11
45 Se 0.080 0.177 0.203  -0.11
46 Se 0.580 0.703 0.677  -0.11
47 Se 0.580 0.877 0.403  -0.11
48 Se 0.703 0.580 0.177  -0.11
49 Mn 0.750 0.125 0.875  3.36
50 Mn 0.875 0.250 0.625  3.36
51 Mn 0.500 0.500 0.000  3.53
52 Mn 0.625 0.750 0.875  3.36
53 Mn 0.000 0.000 0.000  3.53
54 Mn 0.000 0.000 0.500  3.53
55 Mn 0.000 0.500 0.500  3.53
56 Mn 0.250 0.875 0.125  3.36
57 Mn 0.375 0.250 0.125  3.36
58 Mn 0.500 0.000 0.500  3.53
59 Mn 0.125 0.375 0.250  3.36
60 Mn 0.000 0.500 0.000  3.53
61 Mn 0.375 0.125 0.750  3.36
62 Mn 0.250 0.375 0.625  3.36
63 Mn 0.500 0.500 0.500  3.53
64 Mn 0.125 0.750 0.375  3.36
65 Mn 0.750 0.625 0.375  3.36
66 Mn 0.500 0.000 0.000  3.53
67 Mn 0.625 0.875 0.250  3.36
68 Mn 0.875 0.625 0.750  3.36
69 Sn 0.750 0.875 0.625  0.01
70 Sn 0.125 0.875 0.750  0.01
71 Sn 0.625 0.375 0.750  0.01
72 Sn 0.375 0.750 0.625  0.01
73 Sn 0.375 0.625 0.250  0.01
74 Sn 0.125 0.250 0.875  0.01
75 Sn 0.625 0.250 0.375  0.01
76 Sn 0.875 0.750 0.125  0.01
77 Sn 0.750 0.375 0.125  0.01
78 Sn 0.250 0.625 0.875  0.01
79 Sn 0.250 0.125 0.375  0.01
80 Sn 0.875 0.125 0.250  0.01



# MnSnSe4

MnSnSe4 after structural relaxation (PBE, the Alexandria database).

Properties
**E**: -4.894 eV per atom
**Crystal system**: monoclinic
**Space group**: C2/m (12)

a = 3.674 Å, b = 7.583 Å, c = 6.546 Å
α = 114.56°, β = 90.00°, γ = 104.02°
Each line ends with the local moment (μB).
Fractional coordinates of all 6 atoms:
1 Se 0.392 0.783 0.041  -0.10
2 Se 0.885 0.769 0.588  -0.03
3 Se 0.115 0.231 0.412  -0.03
4 Se 0.608 0.217 0.959  -0.10
5 Sn 0.500 0.000 0.500  0.02
6 Mn 0.000 0.000 0.000  3.00



# Mn2SnSe

Mn2SnSe after structural relaxation (PBE, the Alexandria database).

Properties
**E**: -6.215 eV per atom
**Crystal system**: cubic
**Space group**: Fm-3m (225)

a = 4.681 Å, b = 4.681 Å, c = 4.681 Å
α = 60.00°, β = 60.00°, γ = 60.00°
Each line ends with the local moment (μB).
Fractional coordinates of all 4 atoms:
1 Mn 0.750 0.750 0.750  3.46
2 Mn 0.250 0.250 0.250  3.46
3 Se 0.000 0.000 0.000  -0.06
4 Sn 0.500 0.500 0.500  -0.21



# Sr2MnSnSe5

Sr2MnSnSe5 after structural relaxation (PBE, the Alexandria database).

Properties
**E**: -4.870 eV per atom
**Crystal system**: orthorhombic
**Space group**: Cmc2_1 (36)

a = 4.162 Å, b = 9.234 Å, c = 13.143 Å
α = 90.00°, β = 90.00°, γ = 103.02°
Each line ends with the local moment (μB).
Fractional coordinates of all 18 atoms:
1 Sr 0.898 0.797 0.176  0.01
2 Sr 0.129 0.258 0.321  0.01
3 Sr 0.871 0.742 0.821  0.01
4 Sr 0.102 0.203 0.676  0.01
5 Se 0.493 0.987 0.767  0.02
6 Se 0.277 0.554 0.677  0.01
7 Se 0.946 0.892 0.534  -0.04
8 Se 0.507 0.013 0.267  0.02
9 Se 0.694 0.388 0.883  0.04
10 Se 0.723 0.446 0.177  0.01
11 Se 0.306 0.612 0.383  0.04
12 Se 0.638 0.276 0.504  0.00
13 Se 0.362 0.724 0.004  0.00
14 Se 0.054 0.108 0.034  -0.04
15 Sn 0.787 0.574 0.531  -0.01
16 Sn 0.213 0.426 0.031  -0.01
17 Mn 0.443 0.887 0.430  3.95
18 Mn 0.557 0.113 0.930  3.95



# MnTl2SnSe5

MnTl2SnSe5 after structural relaxation (PBE, the Alexandria database).

Properties
**E**: -4.263 eV per atom
**Crystal system**: orthorhombic
**Space group**: Cmc2_1 (36)

a = 3.800 Å, b = 10.110 Å, c = 13.643 Å
α = 90.00°, β = 90.00°, γ = 100.83°
Each line ends with the local moment (μB).
Fractional coordinates of all 18 atoms:
1 Sn 0.440 0.880 0.438  0.01
2 Sn 0.560 0.120 0.938  0.01
3 Se 0.713 0.425 0.142  -0.15
4 Se 0.691 0.382 0.907  -0.09
5 Se 0.339 0.677 0.995  -0.09
6 Se 0.966 0.933 0.560  0.01
7 Se 0.287 0.575 0.642  -0.15
8 Se 0.661 0.323 0.495  -0.09
9 Se 0.501 0.002 0.776  -0.05
10 Se 0.499 0.998 0.276  -0.05
11 Se 0.034 0.067 0.060  0.01
12 Se 0.309 0.618 0.407  -0.09
13 Tl 0.127 0.255 0.308  -0.01
14 Tl 0.127 0.254 0.670  -0.01
15 Tl 0.873 0.746 0.170  -0.01
16 Tl 0.873 0.745 0.808  -0.01
17 Mn 0.222 0.444 0.027  3.25
18 Mn 0.778 0.556 0.527  3.25



# Mn2Tl2SnSe6

Mn2Tl2SnSe6 after structural relaxation (PBE, the Alexandria database).

Properties
**E**: -4.796 eV per atom
**Crystal system**: monoclinic
**Space group**: C2/m (12)

a = 6.637 Å, b = 6.637 Å, c = 7.880 Å
α = 96.99°, β = 96.99°, γ = 120.12°
Each line ends with the local moment (μB).
Fractional coordinates of all 11 atoms:
1 Se 0.581 0.948 0.313  -0.10
2 Se 0.683 0.683 0.685  -0.10
3 Se 0.419 0.052 0.687  -0.10
4 Se 0.948 0.581 0.313  -0.10
5 Se 0.317 0.317 0.315  -0.10
6 Se 0.052 0.419 0.687  -0.10
7 Tl 0.154 0.846 0.000  0.01
8 Tl 0.846 0.154 0.000  0.01
9 Sn 0.000 0.000 0.500  -0.06
10 Mn 0.668 0.332 0.500  3.26
11 Mn 0.332 0.668 0.500  3.26



# Mn2Tl3SnSe6

Mn2Tl3SnSe6 after structural relaxation (PBE, the Alexandria database).

Properties
**E**: -4.622 eV per atom
**Crystal system**: monoclinic
**Space group**: C2/m (12)

a = 6.802 Å, b = 6.802 Å, c = 7.896 Å
α = 98.22°, β = 98.22°, γ = 119.83°
Each line ends with the local moment (μB).
Fractional coordinates of all 12 atoms:
1 Sn 0.000 0.000 0.000  -0.07
2 Tl 0.500 0.500 0.500  0.01
3 Tl 0.843 0.157 0.500  0.01
4 Tl 0.157 0.843 0.500  0.01
5 Se 0.063 0.426 0.191  -0.09
6 Se 0.937 0.574 0.809  -0.09
7 Se 0.302 0.302 0.816  -0.10
8 Se 0.426 0.063 0.191  -0.09
9 Se 0.574 0.937 0.809  -0.09
10 Se 0.698 0.698 0.184  -0.10
11 Mn 0.667 0.333 0.000  3.60
12 Mn 0.333 0.667 0.000  3.60



# MnTlSnSe3

MnTlSnSe3 after structural relaxation (PBE, the Alexandria database).

Properties
**E**: -4.690 eV per atom
**Crystal system**: monoclinic
**Space group**: P2_1/m (11)

a = 4.259 Å, b = 8.909 Å, c = 9.385 Å
α = 103.30°, β = 90.00°, γ = 90.00°
Each line ends with the local moment (μB).
Fractional coordinates of all 12 atoms:
1 Sn 0.250 0.655 0.138  -0.07
2 Sn 0.750 0.345 0.862  -0.07
3 Se 0.750 0.200 0.535  -0.04
4 Se 0.250 0.800 0.465  -0.04
5 Se 0.750 0.440 0.166  -0.07
6 Se 0.750 0.883 0.154  -0.02
7 Se 0.250 0.560 0.834  -0.07
8 Se 0.250 0.117 0.846  -0.02
9 Tl 0.250 0.179 0.205  -0.01
10 Tl 0.750 0.821 0.795  -0.01
11 Mn 0.250 0.080 0.578  3.45
12 Mn 0.750 0.920 0.422  3.45



# TmMnSn2Se5

TmMnSn2Se5 after structural relaxation (PBE, the Alexandria database).

Properties
**E**: -5.110 eV per atom
**Crystal system**: orthorhombic
**Space group**: Cmc2_1 (36)

a = 4.072 Å, b = 9.479 Å, c = 13.183 Å
α = 90.00°, β = 90.00°, γ = 102.40°
Each line ends with the local moment (μB).
Fractional coordinates of all 18 atoms:
1 Se 0.307 0.613 0.378  0.01
2 Se 0.693 0.387 0.878  0.01
3 Se 0.033 0.066 0.007  -0.04
4 Se 0.967 0.934 0.507  -0.04
5 Se 0.691 0.382 0.177  0.00
6 Se 0.309 0.618 0.677  0.00
7 Se 0.508 0.015 0.263  -0.02
8 Se 0.656 0.312 0.528  -0.03
9 Se 0.492 0.985 0.763  -0.02
10 Se 0.344 0.688 0.028  -0.03
11 Sn 0.840 0.680 0.177  0.00
12 Sn 0.091 0.182 0.352  0.01
13 Sn 0.909 0.818 0.852  0.01
14 Sn 0.160 0.320 0.677  0.00
15 Tm 0.806 0.612 0.529  0.04
16 Tm 0.194 0.388 0.029  0.04
17 Mn 0.434 0.868 0.413  3.67
18 Mn 0.566 0.132 0.913  3.67



# ZrMnSn2Se5

ZrMnSn2Se5 after structural relaxation (PBE, the Alexandria database).

Properties
**E**: -5.398 eV per atom
**Crystal system**: orthorhombic
**Space group**: Cmc2_1 (36)

a = 3.910 Å, b = 9.579 Å, c = 13.160 Å
α = 90.00°, β = 90.00°, γ = 101.78°
Each line ends with the local moment (μB).
Fractional coordinates of all 18 atoms:
1 Se 0.307 0.614 0.680  0.04
2 Se 0.719 0.438 0.906  0.01
3 Se 0.507 0.014 0.232  0.01
4 Se 0.649 0.297 0.562  0.04
5 Se 0.493 0.986 0.732  0.01
6 Se 0.351 0.703 0.062  0.04
7 Se 0.281 0.562 0.406  0.01
8 Se 0.972 0.944 0.487  0.02
9 Se 0.693 0.386 0.180  0.04
10 Se 0.028 0.056 0.987  0.02
11 Mn 0.215 0.431 0.044  4.15
12 Mn 0.785 0.569 0.544  4.15
13 Sn 0.836 0.672 0.205  0.03
14 Sn 0.907 0.813 0.825  0.03
15 Sn 0.093 0.187 0.325  0.03
16 Sn 0.164 0.328 0.705  0.03
17 Zr 0.584 0.168 0.883  0.09
18 Zr 0.416 0.832 0.383  0.09



# SrMnSe3

SrMnSe3 after structural relaxation (PBE, the Alexandria database).

Properties
**E**: -5.135 eV per atom
**Crystal system**: cubic
**Space group**: Pm-3m (221)

a = 4.970 Å, b = 4.970 Å, c = 4.970 Å
α = 90.00°, β = 90.00°, γ = 90.00°
Each line ends with the local moment (μB).
Fractional coordinates of all 5 atoms:
1 Sr 0.500 0.500 0.500  0.01
2 Se 0.000 0.000 0.500  -0.03
3 Se 0.500 0.000 0.000  0.02
4 Se 0.000 0.500 0.000  -0.04
5 Mn 0.000 0.000 0.000  3.47



# SrMn3Se

SrMn3Se after structural relaxation (PBE, the Alexandria database).

Properties
**E**: -6.171 eV per atom
**Crystal system**: cubic
**Energy relative to the lowest polymorph listed for this composition**: 0.000 eV per atom
**Space group**: Pm-3m (221)

a = 4.731 Å, b = 4.731 Å, c = 4.731 Å
α = 90.00°, β = 90.00°, γ = 90.00°
Each line ends with the local moment (μB).
Fractional coordinates of all 5 atoms:
1 Mn 0.500 0.000 0.000  3.33
2 Mn 0.000 0.000 0.500  3.10
3 Mn 0.000 0.500 0.000  3.31
4 Se 0.000 0.000 0.000  -0.10
5 Sr 0.500 0.500 0.500  -0.14



# SrMnSe2

SrMnSe2 after structural relaxation (PBE, the Alexandria database).

Properties
**E**: -5.353 eV per atom
**Crystal system**: trigonal
**Energy relative to the lowest polymorph listed for this composition**: 0.289 eV per atom
**Space group**: R-3m (166)

a = 8.249 Å, b = 8.249 Å, c = 8.249 Å
α = 33.43°, β = 33.43°, γ = 33.43°
Each line ends with the local moment (μB).
Fractional coordinates of all 4 atoms:
1 Mn 0.000 0.000 0.000  4.26
2 Se 0.100 0.100 0.100  0.04
3 Se 0.900 0.900 0.900  0.04
4 Sr 0.500 0.500 0.500  0.02



# SrMnSe2

SrMnSe2 after structural relaxation (PBE, the Alexandria database).

Properties
**E**: -5.210 eV per atom
**Crystal system**: orthorhombic
**Energy relative to the lowest polymorph listed for this composition**: 0.432 eV per atom
**Space group**: Pmmm (47)

a = 5.112 Å, b = 5.085 Å, c = 3.662 Å
α = 90.00°, β = 90.00°, γ = 90.00°
Each line ends with the local moment (μB).
Fractional coordinates of all 4 atoms:
1 Mn 0.000 0.500 0.500  4.38
2 Se 0.000 0.000 0.000  0.05
3 Se 0.500 0.500 0.000  0.05
4 Sr 0.500 0.000 0.500  0.01



# SrMnSe

SrMnSe after structural relaxation (PBE, the Alexandria database).

Properties
**E**: -4.725 eV per atom
**Crystal system**: cubic
**Energy relative to the lowest polymorph listed for this composition**: 0.613 eV per atom
**Space group**: F-43m (216)

a = 5.189 Å, b = 5.189 Å, c = 5.189 Å
α = 60.00°, β = 60.00°, γ = 60.00°
Each line ends with the local moment (μB).
Fractional coordinates of all 3 atoms:
1 Mn 0.000 0.000 0.000  4.36
2 Se 0.500 0.500 0.500  0.13
3 Sr 0.250 0.250 0.250  0.01



# SrMnSe2

SrMnSe2 after structural relaxation (PBE, the Alexandria database).

Properties
**E**: -4.664 eV per atom
**Crystal system**: cubic
**Energy relative to the lowest polymorph listed for this composition**: 0.978 eV per atom
**Space group**: Fm-3m (225)

a = 4.881 Å, b = 4.881 Å, c = 4.881 Å
α = 60.00°, β = 60.00°, γ = 60.00°
Fractional coordinates of all 4 atoms:
1 Se 0.250 0.250 0.250
2 Se 0.750 0.750 0.750
3 Mn 0.000 0.000 0.000
4 Sr 0.500 0.500 0.500



# SrMnSe2

SrMnSe2 after structural relaxation (PBE, the Alexandria database).

Properties
**E**: -4.984 eV per atom
**Crystal system**: trigonal
**Energy relative to the lowest polymorph listed for this composition**: 0.658 eV per atom
**Space group**: R-3m (166)

a = 8.924 Å, b = 8.924 Å, c = 8.924 Å
α = 25.52°, β = 25.52°, γ = 25.52°
Each line ends with the local moment (μB).
Fractional coordinates of all 4 atoms:
1 Mn 0.500 0.500 0.500  3.87
2 Se 0.885 0.885 0.885  -0.06
3 Se 0.115 0.115 0.115  -0.06
4 Sr 0.000 0.000 0.000  0.05



# SrMn3Se

SrMn3Se after structural relaxation (PBE, the Alexandria database).

Properties
**E**: -4.594 eV per atom
**Crystal system**: cubic
**Energy relative to the lowest polymorph listed for this composition**: 1.577 eV per atom
**Space group**: Pm-3m (221)

a = 5.117 Å, b = 5.117 Å, c = 5.117 Å
α = 90.00°, β = 90.00°, γ = 90.00°
Each line ends with the local moment (μB).
Fractional coordinates of all 5 atoms:
1 Se 0.500 0.500 0.500  0.01
2 Sr 0.000 0.000 0.000  -0.24
3 Mn 0.500 0.000 0.000  4.08
4 Mn 0.000 0.000 0.500  3.34
5 Mn 0.000 0.500 0.000  3.66



# SrMnSe2

SrMnSe2 after structural relaxation (PBE, the Alexandria database).

Properties
**E**: -5.509 eV per atom
**Crystal system**: tetragonal
**Energy relative to the lowest polymorph listed for this composition**: 0.133 eV per atom
**Space group**: P4mm (99)

a = 4.176 Å, b = 4.177 Å, c = 6.233 Å
α = 90.00°, β = 90.00°, γ = 90.00°
Each line ends with the local moment (μB).
Fractional coordinates of all 4 atoms:
1 Mn 0.500 0.500 0.922  4.38
2 Se 0.000 0.000 0.871  0.08
3 Se 0.500 0.500 0.329  0.05
4 Sr 0.000 0.000 0.379  0.01